DFT (PBE) results for crystalline La5Tb2Ga4 at its relaxed geometry.

CIF file:
```
data_La5Tb2Ga4
_chemical_formula_sum 'La10 Tb4 Ga8'
_cell_length_a 3.5326
_cell_length_b 7.7011
_cell_length_c 30.7072
_cell_angle_alpha 90.00
_cell_angle_beta 90.00
_cell_angle_gamma 90.00
_symmetry_space_group_name_H-M 'I m m m'
_symmetry_Int_Tables_number 71
_symmetry_space_group_name_Hall '-I 2 2'
loop_
_atom_site_label
_atom_site_type_symbol
_atom_site_fract_x
_atom_site_fract_y
_atom_site_fract_z
_atom_site_occupancy
La1 La 0.0000 0.0000 0.0000 1
La2 La 0.0000 0.2657 0.3131 1
Tb1 Tb 0.0000 0.5000 0.4113 1
Ga1 Ga 0.0000 0.1648 0.5000 1
Ga2 Ga 0.0000 0.5000 0.2322 1
```

The total energy comes out at -3.91 eV per atom. The value obtained for the density of states at the Fermi level is 1.5533 states/eV/atom. Its formation energy is 6.17 kcal/mol of atoms.